1.
{
  "formula": "Ac3AlAs2Rh9",
  "functional": "PBE",
  "state": "relaxed",
  "e_form_ev_per_atom": -0.496,
  "space_group": "No. 164",
  "total_magnetization_mub_per_fu": 0.00,
  "mass_density_g_cm3": 9.5,
  "lattice_angstrom": [[-5.6068, 2.7653, 0.3895], [0.4407, -6.2415, 0.2907], [0.8763, 0.4879, 9.1485]],
  "species": ["Rh", "Ac", "As", "Rh", "As", "Rh", "Rh", "Al", "Rh", "Rh", "Ac", "Rh", "Rh", "Rh", "Ac"],
  "fractional_positions": [[0.8537, 0.1463, 0.7080], [0.6667, 0.3333, 0.3465], [0.3333, 0.6667, 0.1694], [0.8537, 0.7075, 0.7080], [0.6667, 0.3333, 0.8306], [0.0000, 0.5000, 0.0000], [0.7075, 0.8537, 0.2920], [0.0000, 0.0000, 0.5000], [0.5000, 0.0000, 0.0000], [0.5000, 0.5000, 0.0000], [0.0000, 0.0000, 0.0000], [0.1463, 0.8537, 0.2920], [0.2925, 0.1463, 0.7080], [0.1463, 0.2925, 0.2920], [0.3333, 0.6667, 0.6535]]
}

2.
{
  "formula": "Ac4AlAu",
  "functional": "PBE",
  "state": "relaxed",
  "e_form_ev_per_atom": -0.203,
  "space_group": "No. 123",
  "total_magnetization_mub_per_fu": 0.00,
  "mass_density_g_cm3": 8.1,
  "lattice_angstrom": [[-2.1217, -0.0518, 5.0144], [-0.9351, -5.3459, -0.4510], [7.0482, -1.4880, 2.9696]],
  "species": ["Ac", "Ac", "Au", "Ac", "Ac", "Al"],
  "fractional_positions": [[0.5012, 0.9970, 0.2517], [0.0012, 0.4971, 0.2518], [0.0013, 0.9973, 0.4981], [0.5014, 0.9976, 0.7446], [0.0014, 0.4975, 0.7445], [0.5013, 0.4973, 0.9981]]
}